Below is crystalline NaTl3Ge at its relaxed geometry, with properties calculated at the PBE-GGA level.

Results
As for the space group: Pm-3m, No. 221. The value obtained for the size of the total moment is 0.0 μB/f.u. Its excess energy over the best structure of this formula in the dataset is 378 meV per atom.

Cell and atoms, written as POSCAR:
```
NaTl3Ge
1.0
-3.587 -3.500 2.320
3.716 -1.226 3.897
-1.955 4.093 3.151
Tl Na Ge
3 1 1
Direct
0.000 0.000 0.500
0.000 0.500 0.000
0.500 0.000 0.000
0.000 0.000 0.000
0.500 0.500 0.500
```



Below is crystalline Tb5SmDy2Sc at its relaxed geometry, with properties calculated at the PBE-GGA level.

Results
As for the space group: Cmc2_1, No. 36. The total energy is -83.82 eV per cell. The value obtained for the size of the total moment is 0.0 μB/f.u.

Cell and atoms, written as POSCAR:
```
Tb5SmDy2Sc
1.0
-4.831 -2.616 -0.901
4.227 1.315 -9.280
4.806 -9.178 0.889
Sc Tb Dy Sm
2 10 4 2
Direct
0.196 0.391 0.015
0.804 0.609 0.515
0.701 0.403 0.205
0.518 0.036 0.240
0.982 0.964 0.518
0.376 0.752 0.020
0.723 0.447 0.821
0.482 0.964 0.740
0.624 0.248 0.520
0.277 0.553 0.321
0.299 0.597 0.705
0.018 0.036 0.018
0.886 0.772 0.236
0.112 0.224 0.314
0.888 0.776 0.814
0.114 0.228 0.736
0.589 0.177 0.956
0.411 0.823 0.456
```



Below is crystalline ZrRe2Ag at its relaxed geometry, with properties calculated at the PBE-GGA level.

Results
As for the space group: Pmm2, No. 25. The value obtained for the size of the total moment is 0.0 μB/f.u. Its excess energy over the best structure of this formula in the dataset is 91 meV per atom.

Cell and atoms, written as POSCAR:
```
ZrRe2Ag
1.0
-1.265 1.605 -2.051
2.428 -1.631 -2.773
-3.957 -4.307 -0.931
Zr Ag Re
1 1 2
Direct
0.000 0.000 0.491
0.500 0.500 0.755
0.000 0.000 0.035
0.500 0.500 0.219
```



Below is crystalline CsNaI2 at its relaxed geometry, with properties calculated at the PBE-GGA level.

Results
Its formation energy from raw total energies is -120 kJ per mole of atoms. As for the space group: Fm-3m, No. 225. The value obtained for the size of the total moment is 0.0 μB/f.u. Its excess energy over the best structure of this formula in the dataset is 120 meV per atom.

Cell and atoms, written as POSCAR:
```
CsNaI2
1.0
6.250 0.000 0.000
3.125 5.413 0.000
3.125 1.804 5.103
Cs I Na
1 2 1
Direct
0.000 0.000 0.000
0.750 0.750 0.750
0.250 0.250 0.250
0.500 0.500 0.500
```



Below is crystalline Pm2ZnIrO6 at its relaxed geometry, with properties calculated at the PBE-GGA level.

Results
Its formation energy from raw total energies is -212 kJ per mole of atoms. As for the space group: P2_1/c, No. 14. The value obtained for the size of the total moment is 1.0 μB/f.u.

Cell and atoms, written as POSCAR:
```
Pm2ZnIrO6
1.0
-1.087 2.095 4.908
4.889 -2.460 2.133
4.039 6.391 -1.887
O Zn Pm Ir
12 2 4 2
Direct
0.193 0.192 0.446
0.807 0.808 0.554
0.307 0.692 0.054
0.820 0.798 0.943
0.180 0.202 0.057
0.612 0.037 0.254
0.693 0.308 0.946
0.680 0.298 0.557
0.888 0.537 0.246
0.112 0.463 0.754
0.320 0.702 0.443
0.388 0.963 0.746
0.000 0.500 0.500
0.500 0.000 0.000
0.477 0.425 0.249
0.523 0.575 0.751
0.023 0.925 0.251
0.977 0.075 0.749
0.000 0.500 0.000
0.500 0.000 0.500
```



Please write out number 2 again, unchanged.
Below is crystalline Tb5SmDy2Sc at its relaxed geometry, with properties calculated at the PBE-GGA level.

Results
As for the space group: Cmc2_1, No. 36. The total energy is -83.82 eV per cell. The value obtained for the size of the total moment is 0.0 μB/f.u.

Cell and atoms, written as POSCAR:
```
Tb5SmDy2Sc
1.0
-4.831 -2.616 -0.901
4.227 1.315 -9.280
4.806 -9.178 0.889
Sc Tb Dy Sm
2 10 4 2
Direct
0.196 0.391 0.015
0.804 0.609 0.515
0.701 0.403 0.205
0.518 0.036 0.240
0.982 0.964 0.518
0.376 0.752 0.020
0.723 0.447 0.821
0.482 0.964 0.740
0.624 0.248 0.520
0.277 0.553 0.321
0.299 0.597 0.705
0.018 0.036 0.018
0.886 0.772 0.236
0.112 0.224 0.314
0.888 0.776 0.814
0.114 0.228 0.736
0.589 0.177 0.956
0.411 0.823 0.456
```